No. 1
Here is an optimized crystal structure of Zn2InSeS2 from OQMD. Energies are from GGA-PBE.

Unit cell a=7.181 b=7.181 c=7.073 alpha=99.43 beta=99.43 gamma=121.52
Atoms (fractional coordinates):
1 In 0.064 0.885 0.491
2 In 0.885 0.064 0.991
3 S 0.951 0.751 0.095
4 S 0.580 0.119 0.127
5 S 0.751 0.951 0.595
6 S 0.119 0.580 0.627
7 Se 0.311 0.476 0.128
8 Se 0.476 0.311 0.628
9 Zn 0.584 0.407 0.002
10 Zn 0.737 0.239 0.485
11 Zn 0.407 0.584 0.502
12 Zn 0.239 0.737 0.985

Output
Space group: Cc, No. 9

No. 2
Here is an optimized crystal structure of Zn2InSe2S from OQMD. Energies are from GGA-PBE.

Unit cell a=7.335 b=7.335 c=7.115 alpha=99.56 beta=99.56 gamma=121.28
Atoms (fractional coordinates):
1 In 0.110 0.920 0.495
2 In 0.920 0.110 0.995
3 S 0.426 0.883 0.377
4 S 0.883 0.426 0.877
5 Se 0.686 0.524 0.374
6 Se 0.048 0.250 0.405
7 Se 0.524 0.686 0.874
8 Se 0.250 0.048 0.905
9 Zn 0.603 0.427 0.002
10 Zn 0.266 0.751 0.018
11 Zn 0.427 0.603 0.502
12 Zn 0.751 0.266 0.518

Output
Space group: Cc, No. 9

No. 3
Here is an optimized crystal structure of Sm4In5S13 from OQMD. Energies are from GGA-PBE.

Unit cell a=11.959 b=21.587 c=3.926 alpha=90.00 beta=90.00 gamma=90.00
Atoms (fractional coordinates):
1 In 0.500 0.000 0.000
2 In 0.000 0.500 0.000
3 In 0.154 0.008 0.500
4 In 0.656 0.169 0.500
5 In 0.156 0.331 0.500
6 In 0.654 0.492 0.500
7 In 0.346 0.508 0.500
8 In 0.844 0.669 0.500
9 In 0.344 0.831 0.500
10 In 0.846 0.992 0.500
11 S 0.000 0.000 0.000
12 S 0.297 0.024 0.000
13 S 0.667 0.240 0.000
14 S 0.167 0.260 0.000
15 S 0.797 0.476 0.000
16 S 0.500 0.500 0.000
17 S 0.203 0.524 0.000
18 S 0.833 0.740 0.000
19 S 0.333 0.760 0.000
20 S 0.703 0.976 0.000
21 S 0.497 0.092 0.500
22 S 0.842 0.114 0.500
23 S 0.150 0.134 0.500
24 S 0.419 0.238 0.500
25 S 0.919 0.262 0.500
26 S 0.650 0.366 0.500
27 S 0.342 0.386 0.500
28 S 0.997 0.408 0.500
29 S 0.003 0.592 0.500
30 S 0.658 0.614 0.500
31 S 0.350 0.634 0.500
32 S 0.081 0.738 0.500
33 S 0.581 0.762 0.500
34 S 0.850 0.866 0.500
35 S 0.158 0.886 0.500
36 S 0.503 0.908 0.500
37 Sm 0.328 0.158 0.000
38 Sm 0.982 0.171 0.000
39 Sm 0.482 0.329 0.000
40 Sm 0.828 0.342 0.000
41 Sm 0.172 0.658 0.000
42 Sm 0.518 0.671 0.000
43 Sm 0.018 0.829 0.000
44 Sm 0.672 0.842 0.000

Output
Space group: Pbam, No. 55
M_tot in μB per atom: 0.000

No. 4
Here is an optimized crystal structure of Sm3InS6 from OQMD. Energies are from GGA-PBE.

Unit cell a=16.683 b=13.710 c=3.926 alpha=90.00 beta=90.00 gamma=90.00
Atoms (fractional coordinates):
1 In 0.000 0.500 0.000
2 In 0.500 0.500 0.000
3 In 0.000 0.000 0.500
4 In 0.500 0.000 0.500
5 S 0.896 0.022 0.000
6 S 0.415 0.095 0.000
7 S 0.520 0.309 0.000
8 S 0.286 0.318 0.000
9 S 0.116 0.388 0.000
10 S 0.747 0.389 0.000
11 S 0.253 0.611 0.000
12 S 0.884 0.612 0.000
13 S 0.714 0.682 0.000
14 S 0.480 0.691 0.000
15 S 0.585 0.905 0.000
16 S 0.104 0.978 0.000
17 S 0.247 0.111 0.500
18 S 0.616 0.112 0.500
19 S 0.786 0.182 0.500
20 S 0.020 0.191 0.500
21 S 0.915 0.405 0.500
22 S 0.396 0.478 0.500
23 S 0.604 0.522 0.500
24 S 0.085 0.595 0.500
25 S 0.980 0.809 0.500
26 S 0.214 0.818 0.500
27 S 0.384 0.888 0.500
28 S 0.753 0.889 0.500
29 Sm 0.723 0.041 0.000
30 Sm 0.146 0.188 0.000
31 Sm 0.894 0.252 0.000
32 Sm 0.106 0.748 0.000
33 Sm 0.854 0.812 0.000
34 Sm 0.277 0.959 0.000
35 Sm 0.394 0.248 0.500
36 Sm 0.646 0.312 0.500
37 Sm 0.223 0.459 0.500
38 Sm 0.777 0.541 0.500
39 Sm 0.354 0.688 0.500
40 Sm 0.606 0.752 0.500

Output
Space group: Pnnm, No. 58
M_tot in μB per atom: 0.000

Number 1: E -20.3 eV/f.u.. Number 2: E -19.5 eV/f.u.. Number 3: E -112.9 eV/f.u.. Number 4: E -58.6 eV/f.u..